Here is Na2CaBe after structural relaxation from Alexandria via LeMat-Bulk. Energies are from PBEsol.

```
8
Lattice="-2.169 2.169 11.726 2.169 -2.169 11.726 2.169 2.169 -11.726" Properties=species:S:1:pos:R:3 pbc="T T T"
Na 3.254 0.945 -2.931
Na 0.945 1.085 2.931
Na -1.085 1.225 8.794
Na 1.225 1.085 14.657
Ca 2.169 0.000 5.863
Ca 0.000 0.000 11.726
Be 0.000 0.000 0.000
Be 0.000 2.169 5.863
```

Output
formation energy from the elements	0.51	eV per atom
raw total energy	-1.720	eV/atom

=====

Here is Ba2CaMg after structural relaxation from Alexandria via LeMat-Bulk. Energies are from PBEsol.

```
4
Lattice="4.232 0.000 0.000 0.000 4.232 0.000 0.000 0.000 9.949" Properties=species:S:1:pos:R:3 pbc="T T T"
Ba 0.000 0.000 0.000
Ba 2.116 2.116 3.328
Ca 0.000 0.000 6.099
Mg 2.116 2.116 7.715
```

Output
formation energy from the elements	-0.01	eV per atom
raw total energy	-2.046	eV/atom

=====

Here is SrLa2Cl after structural relaxation from Alexandria via LeMat-Bulk. Energies are from PBEsol.

```
4
Lattice="3.698 0.000 0.000 0.000 5.985 0.000 0.000 0.000 6.382" Properties=species:S:1:pos:R:3 pbc="T T T"
Sr 0.000 0.000 0.000
La 1.849 1.465 3.191
La 1.849 4.520 3.191
Cl 0.000 2.992 0.000
```

Output
raw total energy	-3.880	eV/atom
formation energy without anion corrections	-0.24	eV per atom
offset from the most stable computed form	400	meV per atom

=====

Here is LiErS2 after structural relaxation from Alexandria via LeMat-Bulk. Energies are from PBEsol.

```
4
Lattice="3.826 0.000 0.000 0.000 3.826 0.000 0.000 0.000 5.224" Properties=species:S:1:pos:R:3 pbc="T T T"
Li 0.000 0.000 0.000
Er 1.913 1.913 2.612
S 0.000 0.000 2.612
S 1.913 1.913 0.000
```

Output
raw total energy	-5.734	eV/atom
formation energy without anion corrections	-1.82	eV per atom

=====

Here is KCrBr3 after structural relaxation from Alexandria via LeMat-Bulk. Energies are from PBEsol.

```
5
Lattice="5.165 0.000 0.000 0.000 5.165 0.000 0.000 0.000 5.165" Properties=species:S:1:pos:R:3 pbc="T T T"
K 0.000 0.000 0.000
Cr 2.582 2.582 2.582
Br 0.000 2.582 2.582
Br 2.582 0.000 2.582
Br 2.582 2.582 0.000
```

Output
raw total energy	-4.419	eV/atom
formation energy without anion corrections	-1.02	eV per atom

=====

Here is ZrBe3 after structural relaxation from Alexandria via LeMat-Bulk. Energies are from PBEsol.

```
4
Lattice="1.773 1.024 4.363 -1.773 1.024 4.363 0.000 -2.047 4.363" Properties=species:S:1:pos:R:3 pbc="T T T"
Zr 0.000 0.000 0.000
Be 0.000 0.000 2.629
Be 0.000 0.000 6.544
Be 0.000 0.000 10.459
```

Output
formation energy from the elements	-0.14	eV per atom
raw total energy	-5.408	eV/atom
offset from the most stable computed form	28	meV per atom

=====

Here is SrMo2Se after structural relaxation from Alexandria via LeMat-Bulk. Energies are from PBEsol.

```
4
Lattice="0.000 3.335 3.335 3.335 0.000 3.335 3.335 3.335 0.000" Properties=species:S:1:pos:R:3 pbc="T T T"
Sr 0.000 0.000 0.000
Mo 1.667 1.667 1.667
Mo 3.335 3.335 3.335
Se 5.002 5.002 5.002
```

Output
raw total energy	-6.700	eV/atom
formation energy without anion corrections	0.61	eV per atom

=====

Here is Mn3VCu2P6O24 after structural relaxation from Alexandria via LeMat-Bulk. Energies are from PBEsol.

```
36
Lattice="4.210 2.431 6.821 -4.210 2.431 6.821 0.000 -4.862 6.821" Properties=species:S:1:pos:R:3 pbc="T T T"
Mn 0.000 0.000 0.000
Mn 0.000 0.000 4.495
Mn 0.000 0.000 10.233
V 0.000 0.000 14.726
Cu 0.000 0.000 7.365
Cu 0.000 0.000 17.577
P -1.198 -2.763 9.068
P -2.440 -0.004 12.457
P -1.794 2.419 9.068
P 1.223 -2.112 12.457
P 2.992 0.344 9.068
P 1.217 2.115 12.457
O -0.787 -3.475 7.786
O -1.448 -0.197 5.772
O -3.359 -1.248 12.364
O -0.832 -3.500 10.352
O -2.616 2.419 7.786
O -0.569 -1.347 8.963
O 0.895 -1.156 5.772
O -1.607 -0.028 11.182
O -2.615 2.470 10.352
O -0.882 1.166 8.963
O 0.553 1.353 5.772
O -1.570 -0.014 13.723
O 0.828 -1.378 11.182
O -0.857 -1.195 15.958
O 1.451 0.181 8.963
O 0.797 -1.353 13.723
O 0.779 1.406 11.182
O 2.760 -2.285 12.364
O -0.606 1.340 15.958
O 0.773 1.367 13.723
O 3.403 1.056 7.786
O 0.599 3.533 12.364
O 1.464 -0.145 15.958
O 3.447 1.029 10.352
```

Output
raw total energy	-7.671	eV/atom
formation energy without anion corrections	-1.88	eV per atom

=====

Here is BeGaS2N after structural relaxation from Alexandria via LeMat-Bulk. Energies are from PBEsol.

```
5
Lattice="4.760 0.000 0.000 0.000 4.760 0.000 0.000 0.000 3.639" Properties=species:S:1:pos:R:3 pbc="T T T"
Be 0.000 0.000 0.000
Ga 2.380 2.380 1.819
S 0.000 2.380 1.819
S 2.380 0.000 1.819
N 2.380 2.380 0.000
```

Output
raw total energy	-3.976	eV/atom
formation energy without anion corrections	0.95	eV per atom

=====

Here is CoSe2 after structural relaxation from Alexandria via LeMat-Bulk. Energies are from PBEsol.

```
12
Lattice="0.000 4.773 4.773 4.773 0.000 4.773 4.773 4.773 0.000" Properties=species:S:1:pos:R:3 pbc="T T T"
Co 0.000 0.000 0.000
Co 2.387 2.387 0.000
Co 2.387 0.000 2.387
Co 0.000 2.387 2.387
Se 7.212 4.721 4.721
Se 2.334 2.334 2.334
Se 4.826 4.826 2.334
Se 4.826 2.334 4.826
Se 4.721 7.212 4.721
Se 4.721 4.721 7.212
Se 7.212 7.212 7.212
Se 2.334 4.826 4.826
```

Output
raw total energy	-5.452	eV/atom
formation energy without anion corrections	-0.31	eV per atom

=====

Here is Al3BC after structural relaxation from Alexandria via LeMat-Bulk. Energies are from PBEsol.

```
10
Lattice="3.486 0.000 0.000 -1.743 3.019 0.000 0.000 0.000 11.503" Properties=species:S:1:pos:R:3 pbc="T T T"
Al 0.000 0.000 2.876
Al 0.000 0.000 8.627
Al 0.000 2.012 0.871
Al 0.000 2.012 4.880
Al 1.743 1.006 6.622
Al 1.743 1.006 10.632
B 0.000 0.000 0.000
B 0.000 0.000 5.751
C 0.000 2.012 2.876
C 1.743 1.006 8.627
```

Output
formation energy from the elements	-0.10	eV per atom
raw total energy	-5.887	eV/atom

=====

Here is BeZnRh after structural relaxation from Alexandria via LeMat-Bulk. Energies are from PBEsol.

```
3
Lattice="-1.428 1.428 4.265 1.428 -1.428 4.265 1.428 1.428 -4.265" Properties=species:S:1:pos:R:3 pbc="T T T"
Be 0.000 0.000 0.000
Zn 0.000 0.000 2.742
Rh 0.000 0.000 5.362
```

Output
formation energy from the elements	-0.40	eV per atom
raw total energy	-4.978	eV/atom
offset from the most stable computed form	0	meV per atom